(1)
This record from Alexandria via LeMat-Bulk describes a geometry-optimized K4Hg structure. The functional is PBE.

Cell: 9.230 9.230 9.230 Å, 105.44 105.44 117.87°
Sites, in units of the cell vectors:
1 K 0.794 0.348 0.054
2 K 0.348 0.794 0.554
3 K 0.206 0.652 0.946
4 K 0.794 0.740 0.446
5 K 0.260 0.206 0.054
6 K 0.652 0.206 0.446
7 K 0.740 0.794 0.946
8 K 0.206 0.260 0.554
9 Hg 0.125 0.875 0.250
10 Hg 0.875 0.125 0.750

Output
The calculated formation energy is -0.089 eV/atom. The space-group type is No. 141. For the calculated total energy, the calculation gives -10.278 eV per cell.



(2)
This record from Alexandria via LeMat-Bulk describes a geometry-optimized Ca3Pm4Ir4 structure. The functional is PBE.

Cell: 4.526 8.133 9.099 Å, 116.55 104.40 90.00°
Sites, in units of the cell vectors:
1 Pm 0.665 0.456 0.331
2 Pm 0.335 0.544 0.669
3 Pm 0.335 0.126 0.669
4 Pm 0.665 0.874 0.331
5 Ca 0.000 0.500 0.000
6 Ca 0.897 0.897 0.794
7 Ca 0.103 0.103 0.206
8 Ir 0.500 0.160 0.000
9 Ir 0.217 0.717 0.433
10 Ir 0.783 0.283 0.567
11 Ir 0.500 0.840 0.000

Output
The calculated formation energy is -0.439 eV/atom. The space-group type is No. 71. For the calculated total energy, the calculation gives -65.283 eV per cell.



(3)
This record from Alexandria via LeMat-Bulk describes a geometry-optimized Ac2Pm2Sn structure. The functional is PBE.

Cell: 4.459 4.459 10.415 Å, 102.36 102.36 90.00°
Sites, in units of the cell vectors:
1 Pm 0.750 0.250 0.500
2 Pm 0.250 0.750 0.500
3 Ac 0.414 0.414 0.828
4 Ac 0.586 0.586 0.172
5 Sn 0.000 0.000 0.000

Output
The calculated formation energy is 0.101 eV/atom. The space-group type is No. 139. For the calculated total energy, the calculation gives -21.218 eV per cell.



(4)
This record from Alexandria via LeMat-Bulk describes a geometry-optimized Tm2Zn15Ni2 structure. The functional is PBE.

Cell: 6.705 6.705 6.705 Å, 82.43 82.43 82.43°
Sites, in units of the cell vectors:
1 Zn 0.000 0.714 0.286
2 Zn 0.649 0.649 0.152
3 Zn 0.286 0.714 0.000
4 Zn 0.500 0.000 0.000
5 Zn 0.351 0.351 0.848
6 Zn 0.000 0.286 0.714
7 Zn 0.714 0.286 0.000
8 Zn 0.848 0.351 0.351
9 Zn 0.649 0.152 0.649
10 Zn 0.351 0.848 0.351
11 Zn 0.000 0.500 0.000
12 Zn 0.714 0.000 0.286
13 Zn 0.000 0.000 0.500
14 Zn 0.152 0.649 0.649
15 Zn 0.286 0.000 0.714
16 Ni 0.897 0.897 0.897
17 Ni 0.103 0.103 0.103
18 Tm 0.330 0.330 0.330
19 Tm 0.670 0.670 0.670

Output
The calculated formation energy is -0.211 eV/atom. The space-group type is No. 166. For the calculated total energy, the calculation gives -43.629 eV per cell.



(5)
This record from Alexandria via LeMat-Bulk describes a geometry-optimized Ce2YErN4 structure. The functional is PBE.

Cell: 3.510 6.079 6.087 Å, 109.44 90.00 90.00°
Last column: magnetic moment on the atom in μB.
Sites, in units of the cell vectors:
1 Er 0.000 0.000 0.000  0.01
2 Ce 0.000 0.500 0.500  0.27
3 Ce 0.500 0.000 0.500  0.23
4 N 0.000 0.249 0.752  -0.01
5 N 0.500 0.754 0.754  -0.01
6 N 0.000 0.751 0.248  -0.01
7 N 0.500 0.246 0.246  -0.01
8 Y 0.500 0.500 0.000  0.01

Output
The formation energy (no corrections) comes out at -1.606 eV per atom. The space-group type is No. 10. For the calculated total energy, the calculation gives -69.041 eV per cell.



(6)
This record from Alexandria via LeMat-Bulk describes a geometry-optimized La4TcAuBr2 structure. The functional is PBE.

Cell: 4.277 7.423 8.284 Å, 107.36 90.00 90.00°
Sites, in units of the cell vectors:
1 La 0.500 0.738 0.799
2 La 0.000 0.719 0.204
3 La 0.000 0.281 0.796
4 La 0.500 0.262 0.201
5 Br 0.000 0.500 0.500
6 Br 0.500 0.000 0.500
7 Tc 0.500 0.500 0.000
8 Au 0.000 0.000 0.000

Output
The formation energy (no corrections) comes out at -0.896 eV per atom. The space-group type is No. 10. For the calculated total energy, the calculation gives -43.870 eV per cell.



(7)
This record from Alexandria via LeMat-Bulk describes a geometry-optimized SrNi4Sb2 structure. The functional is PBE.

Cell: 4.270 6.869 17.886 Å, 90.00 90.00 90.00°
Sites, in units of the cell vectors:
1 Sr 0.750 0.407 0.136
2 Sr 0.750 0.093 0.636
3 Sr 0.250 0.593 0.864
4 Sr 0.250 0.907 0.364
5 Ni 0.250 0.363 0.731
6 Ni 0.250 0.459 0.459
7 Ni 0.250 0.041 0.959
8 Ni 0.250 0.106 0.506
9 Ni 0.750 0.959 0.041
10 Ni 0.250 0.750 0.201
11 Ni 0.750 0.637 0.269
12 Ni 0.750 0.250 0.299
13 Ni 0.250 0.750 0.701
14 Ni 0.750 0.250 0.799
15 Ni 0.750 0.606 0.994
16 Ni 0.750 0.863 0.769
17 Ni 0.750 0.894 0.494
18 Ni 0.250 0.394 0.006
19 Ni 0.250 0.137 0.231
20 Ni 0.750 0.541 0.541
21 Sb 0.250 0.748 0.051
22 Sb 0.250 0.752 0.551
23 Sb 0.250 0.455 0.304
24 Sb 0.750 0.545 0.696
25 Sb 0.750 0.248 0.449
26 Sb 0.250 0.045 0.804
27 Sb 0.750 0.252 0.949
28 Sb 0.750 0.955 0.196

Output
The formation energy (no corrections) comes out at -0.227 eV per atom. The space-group type is No. 62. For the calculated total energy, the calculation gives -138.556 eV per cell.



(8)
This record from Alexandria via LeMat-Bulk describes a geometry-optimized Na2SrGa9 structure. The functional is PBE.

Cell: 5.729 5.729 9.600 Å, 72.64 72.64 60.00°
Sites, in units of the cell vectors:
1 Ga 0.338 0.338 0.987
2 Ga 0.410 0.410 0.254
3 Ga 0.590 0.590 0.746
4 Ga 0.410 0.926 0.254
5 Ga 0.926 0.410 0.254
6 Ga 0.662 0.662 0.013
7 Ga 0.074 0.590 0.746
8 Ga 0.500 0.500 0.500
9 Ga 0.590 0.074 0.746
10 Na 0.143 0.143 0.571
11 Na 0.857 0.857 0.429
12 Sr 0.000 0.000 0.000

Output
The calculated formation energy is -0.183 eV/atom. The space-group type is No. 166. For the calculated total energy, the calculation gives -33.756 eV per cell.



Q: Look up the calculated total energy of the seventh one.
A: -138.556 eV per cell



Q: calculated total energy of number 8 (Na2SrGa9)?
A: -33.756 eV per cell